[1]
This record from Alexandria via LeMat-Bulk describes a geometry-optimized In2TcSb structure. The functional is PBE.

Cell: 4.9448 4.9448 4.9448 Å, 60.00 60.00 60.00°
Last column: nearest neighbours and their distance in Å.
Positions (direct):
In 0.0000 0.0000 0.0000  4 In 3.03, 4 Tc 3.03
Tc 0.7500 0.7500 0.7500  4 Sb 3.03, 4 In 3.03
Sb 0.5000 0.5000 0.5000  4 Tc 3.03, 4 In 3.03
In 0.2500 0.2500 0.2500  4 In 3.03, 4 Sb 3.03

The formation energy without anion corrections is 0.5568 eV per atom. Its density of states at the Fermi level is 4.17 states/eV per cell. Its space group is F-43m (216). The electronic total energy is -17.738 eV per cell. As for the theoretical density: 8.7 g cm⁻³.

[2]
This record from Alexandria via LeMat-Bulk describes a geometry-optimized AlCrFeW structure. The functional is PBE.

Cell: 4.1898 4.1898 4.1898 Å, 60.00 60.00 60.00°
Last column: nearest neighbours and their distance in Å.
Positions (direct):
Cr 0.2500 0.2500 0.2500  4 W 2.57, 4 Al 2.57
W 0.5000 0.5000 0.5000  4 Cr 2.57, 4 Fe 2.57
Al 0.0000 0.0000 0.0000  4 Cr 2.57, 4 Fe 2.57
Fe 0.7500 0.7500 0.7500  4 W 2.57, 4 Al 2.57

Its density of states at the Fermi level is 4.37 states/eV per cell. As for the energy relative to the elements: -0.097 eV/atom. Its space group is F-43m (216). The electronic total energy is -35.170 eV per cell. As for the theoretical density: 10.2 g cm⁻³.

[3]
This record from Alexandria via LeMat-Bulk describes a geometry-optimized CaYTc4 structure. The functional is PBE.

Cell: 5.4092 5.4092 5.4092 Å, 60.00 60.00 60.00°
Last column: nearest neighbours and their distance in Å.
Positions (direct):
Tc 0.3749 0.3749 0.8753  6 Tc 2.70-2.71
Ca 0.0000 0.0000 0.0000  12 Tc 3.17, 4 Y 3.31
Y 0.7500 0.7500 0.7500  12 Tc 3.17, 4 Ca 3.31
Tc 0.3749 0.3749 0.3749  6 Tc 2.70-2.71
Tc 0.3749 0.8753 0.3749  6 Tc 2.70-2.71
Tc 0.8753 0.3749 0.3749  6 Tc 2.70-2.71

Its density of states at the Fermi level is 5.09 states/eV per cell. As for the energy relative to the elements: 0.056 eV/atom. Its space group is F-43m (216). The electronic total energy is -49.592 eV per cell. As for the theoretical density: 7.7 g cm⁻³.